Entry 1:
Computed, not measured: a relaxed structure of ErThZnAu at the GGA-PBE level of DFT. Values from VASP.

```
&SYSTEM
  ibrav = 0, nat = 4, ntyp = 4
/
ATOMIC_SPECIES
Er 167.26 Er.upf
Th 232.04 Th.upf
Zn 65.41 Zn.upf
Au 196.97 Au.upf
CELL_PARAMETERS angstrom
0.000 3.645 3.645
3.645 0.000 3.645
3.645 3.645 0.000
ATOMIC_POSITIONS crystal
Er 0.000 0.000 0.000
Th 0.500 0.500 0.500
Zn 0.750 0.750 0.750
Au 0.250 0.250 0.250
```

Total energy in eV/atom: -4.571
Calculated formation energy in meV/atom: -437


Entry 2:
Computed, not measured: a relaxed structure of ErTiAu4 at the GGA-PBE level of DFT. Values from VASP.

```
&SYSTEM
  ibrav = 0, nat = 6, ntyp = 3
/
ATOMIC_SPECIES
Er 167.26 Er.upf
Ti 47.87 Ti.upf
Au 196.97 Au.upf
CELL_PARAMETERS angstrom
3.583 0.000 0.000
0.000 3.583 0.000
0.000 0.000 8.876
ATOMIC_POSITIONS crystal
Er 0.000 0.000 0.000
Ti 0.500 0.500 0.500
Au 0.000 0.000 0.343
Au 0.000 0.000 0.657
Au 0.500 0.500 0.177
Au 0.500 0.500 0.823
```

Total energy in eV/atom: -4.883
Calculated formation energy in meV/atom: -622


Look up the total energy of the second one.
-4.883 eV/atom